Ni4AsOs after structural relaxation. Source: the Alexandria database, functional PBE.

Properties
ρ	11.12	g/cm³
energy of formation from the pure elements	362	meV/atom
total magnetic moment	11.70	μB per cell

a b c (Å): 6.685 6.685 6.685
angles (deg): 90.00 90.00 90.00
Space group F-43m (No. 216)
Inequivalent atoms, fractional coordinates:
Ni (0.125, 0.125, 0.125)
As (0.000, 0.000, 0.500)
Os (0.250, 0.250, 0.750)